[1]
Computed, not measured: a relaxed structure of LiHfOF2 at the PBE level of DFT.

Cell lengths 4.276, 4.276, 4.033 Å; angles 90.00, 90.00, 90.00 degrees
Positions (direct):
Li1 0.500 0.500 0.500
Hf1 0.000 0.000 0.000
O1 0.000 0.000 0.500
F1 0.000 0.500 0.000
F2 0.500 0.000 0.000

Values from the calculation:
As for the uncorrected formation energy: -2644.0 meV/atom. The calculation puts the total energy at -6.758 eV per atom. Its space group is P4/mmm. Its excess energy over the best structure of this formula in the dataset is 0.0 meV/atom.


[2]
Computed, not measured: a relaxed structure of LiHfPd2F at the PBE level of DFT.

Cell lengths 4.824, 3.329, 4.824 Å; angles 90.00, 90.00, 90.00 degrees
Positions (direct):
Li1 0.000 0.500 0.000
Hf1 0.500 0.500 0.500
Pd1 0.000 0.000 0.500
Pd2 0.500 0.000 0.000
F1 0.000 0.000 0.000

Values from the calculation:
As for the uncorrected formation energy: -677.0 meV/atom. The calculation puts the total energy at -5.502 eV per atom. Its space group is P4/mmm.


[3]
Computed, not measured: a relaxed structure of Rb2LiHfF6 at the PBE level of DFT.

Cell lengths 6.026, 6.026, 6.077 Å; angles 60.28, 60.28, 90.00 degrees
Positions (direct):
Li1 0.500 0.500 0.000
Hf1 0.000 0.000 0.000
Rb1 0.750 0.250 0.500
Rb2 0.250 0.750 0.500
F1 0.249 0.249 0.503
F2 0.751 0.751 0.497
F3 0.246 0.246 0.000
F4 0.754 0.754 0.000
F5 0.754 0.246 0.000
F6 0.246 0.754 0.000

Values from the calculation:
As for the uncorrected formation energy: -3007.5 meV/atom. The calculation puts the total energy at -5.510 eV per atom. Its space group is I4/mmm.


[4]
Computed, not measured: a relaxed structure of Rb2Li3HfF12 at the PBE level of DFT.

Cell lengths 7.458, 7.458, 7.458 Å; angles 57.72, 57.72, 57.72 degrees
Positions (direct):
Rb1 0.614 0.614 0.614
Rb2 0.386 0.386 0.386
Li1 0.500 0.000 0.000
Li2 0.000 0.500 0.000
Li3 0.000 0.000 0.500
Hf1 0.000 0.000 0.000
F1 0.339 0.339 0.874
F2 0.925 0.925 0.328
F3 0.328 0.925 0.925
F4 0.874 0.339 0.339
F5 0.925 0.328 0.925
F6 0.339 0.874 0.339
F7 0.661 0.661 0.126
F8 0.075 0.075 0.672
F9 0.672 0.075 0.075
F10 0.126 0.661 0.661
F11 0.075 0.672 0.075
F12 0.661 0.126 0.661

Values from the calculation:
As for the uncorrected formation energy: -2604.6 meV/atom. The calculation puts the total energy at -4.832 eV per atom. Its space group is R-3m.


[5]
Computed, not measured: a relaxed structure of RbLi2HfF8 at the PBE level of DFT.

Cell lengths 5.436, 5.436, 7.834 Å; angles 90.00, 90.00, 120.00 degrees
Positions (direct):
Rb1 0.000 0.000 0.000
Li1 0.667 0.333 0.269
Li2 0.333 0.667 0.731
Hf1 0.000 0.000 0.500
F1 0.333 0.667 0.976
F2 0.315 0.265 0.344
F3 0.735 0.050 0.344
F4 0.667 0.333 0.024
F5 0.265 0.950 0.656
F6 0.685 0.735 0.656
F7 0.050 0.315 0.656
F8 0.950 0.685 0.344

Values from the calculation:
As for the uncorrected formation energy: -3027.3 meV/atom. The calculation puts the total energy at -5.504 eV per atom. Its space group is P-3.


[6]
Computed, not measured: a relaxed structure of Li2HfScF at the PBE level of DFT.

Cell lengths 5.346, 5.346, 5.093 Å; angles 90.00, 90.00, 90.00 degrees
Positions (direct):
Sc1 0.000 0.000 0.000
Li1 0.000 0.500 0.000
Li2 0.500 0.000 0.000
Hf1 0.000 0.000 0.500
F1 0.500 0.500 0.500

Values from the calculation:
As for the uncorrected formation energy: 924.9 meV/atom. The calculation puts the total energy at -3.472 eV per atom. Its space group is P4/mmm.


[7]
Computed, not measured: a relaxed structure of SrLi2HfF8 at the PBE level of DFT.

Cell lengths 4.590, 5.079, 7.348 Å; angles 84.25, 86.06, 81.87 degrees
Positions (direct):
Sr1 0.000 0.000 0.500
Li1 0.466 0.468 0.706
Li2 0.534 0.532 0.294
Hf1 0.000 0.000 0.000
F1 0.187 0.779 0.219
F2 0.698 0.755 0.037
F3 0.806 0.224 0.202
F4 0.813 0.221 0.781
F5 0.302 0.245 0.963
F6 0.194 0.776 0.798
F7 0.635 0.707 0.502
F8 0.365 0.293 0.498

Values from the calculation:
As for the uncorrected formation energy: -3521.7 meV/atom. The calculation puts the total energy at -6.058 eV per atom. Its space group is P-1.


[8]
Computed, not measured: a relaxed structure of LiHfTlF6 at the PBE level of DFT.

Cell lengths 5.511, 5.511, 12.120 Å; angles 90.00, 90.00, 120.00 degrees
Positions (direct):
Li1 0.333 0.667 0.250
Li2 0.667 0.333 0.750
Hf1 0.667 0.333 0.250
Hf2 0.333 0.667 0.750
Tl1 0.000 0.000 0.000
Tl2 0.000 0.000 0.500
F1 0.621 0.610 0.157
F2 0.989 0.379 0.157
F3 0.379 0.989 0.657
F4 0.011 0.621 0.843
F5 0.390 0.379 0.343
F6 0.989 0.610 0.343
F7 0.610 0.989 0.843
F8 0.621 0.011 0.343
F9 0.011 0.390 0.657
F10 0.390 0.011 0.157
F11 0.610 0.621 0.657
F12 0.379 0.390 0.843

Values from the calculation:
As for the uncorrected formation energy: -3238.9 meV/atom. The calculation puts the total energy at -6.068 eV per atom. Its space group is P-31c.